This record from Alexandria describes an optimized crystal structure of CoSiBr2. The functional is PBE.

abc: 6.763 6.763 6.763
angles: 90.00 90.00 90.00
Space group Fm-3m (No. 225)
Symmetry-distinct sites (fractional):
Co  0.000  0.000  0.000 x4
Si  0.000  0.000  0.500 x4
Br  0.250  0.250  0.250 x8

Summary:
**Distance to the lowest polymorph of the same formula**: 0.759 eV/atom
**Size of the total moment**: 6.0 Bohr magnetons per cell
**Volume**: 19.33 Å³/atom
**Formation energy from raw total energies**: 0.7251 eV/atom